Compound: ZrBeCuB
Source: OQMD via LeMat-Bulk
Functional: PBE
Structure: relaxed

Results
Space group ... No. 216
Crystal system ... cubic
Excess energy over the best structure of this formula in the dataset ... 310 meV/atom

abc: 4.0903 4.0903 4.0903
angles: 60.00 60.00 60.00
Fractional positions:
B: 0.0000 0.0000 0.0000
Be: 0.7500 0.7500 0.7500
Cu: 0.2500 0.2500 0.2500
Zr: 0.5000 0.5000 0.5000